Record 1
! Sn2SbHRh6 (PBE, relaxed); values from VASP
! Density   9.31 g/cm³
! Raw total energy   -5.65 eV per atom
! Total moment   0.000 μB per atom
! Density of states at the Fermi level   3.98 states/eV/cell
&SYSTEM
  ibrav = 0, nat = 10, ntyp = 4
/
ATOMIC_SPECIES
Sn 118.71 Sn.upf
Sb 121.76 Sb.upf
H 1.01 H.upf
Rh 102.91 Rh.upf
CELL_PARAMETERS angstrom
-1.0287 2.4199 -3.8071
-3.4939 -2.8974 -0.8976
-5.0252 4.7113 4.3524
ATOMIC_POSITIONS crystal
Sn 0.0000 0.0000 0.7215
Sn 0.0000 0.0000 0.2785
Sb 0.5000 0.5000 0.0000
H 0.5000 0.5000 0.5000
Rh 0.5000 0.0000 0.0000
Rh 0.5000 0.0000 0.5000
Rh 0.0000 0.5000 0.0000
Rh 0.0000 0.5000 0.5000
Rh 0.5000 0.5000 0.7031
Rh 0.5000 0.5000 0.2969

***

Record 2
! SrSbH2Rh2 (PBE, relaxed); values from VASP
! Density   6.78 g/cm³
! Raw total energy   -4.97 eV per atom
! Total moment   0.000 μB per atom
! Density of states at the Fermi level   2.46 states/eV/cell
&SYSTEM
  ibrav = 0, nat = 12, ntyp = 4
/
ATOMIC_SPECIES
Sr 87.62 Sr.upf
Sb 121.76 Sb.upf
H 1.01 H.upf
Rh 102.91 Rh.upf
CELL_PARAMETERS angstrom
5.7494 0.0000 0.0000
0.0000 4.7019 0.3647
0.0000 -1.3667 7.4491
ATOMIC_POSITIONS crystal
Sr 0.7500 0.2606 0.6319
Sr 0.2500 0.7394 0.3681
Sb 0.2500 0.2933 0.8980
Sb 0.7500 0.7067 0.1020
H 0.2500 0.2263 0.3001
H 0.2500 0.7112 0.6816
H 0.7500 0.7737 0.6999
H 0.7500 0.2888 0.3184
Rh 0.5149 0.2087 0.1752
Rh 0.9851 0.2087 0.1752
Rh 0.0149 0.7913 0.8248
Rh 0.4851 0.7913 0.8248

***

Record 3
! Sr2Sb2H4Rh (PBE, relaxed); values from VASP
! Density   5.09 g/cm³
! Raw total energy   -3.85 eV per atom
! Total moment   0.000 μB per atom
! Density of states at the Fermi level   7.39 states/eV/cell
&SYSTEM
  ibrav = 0, nat = 9, ntyp = 4
/
ATOMIC_SPECIES
Sr 87.62 Sr.upf
Sb 121.76 Sb.upf
H 1.01 H.upf
Rh 102.91 Rh.upf
CELL_PARAMETERS angstrom
-0.5975 -5.8639 -1.6964
3.2996 1.0249 5.0677
-5.1192 2.8033 1.8855
ATOMIC_POSITIONS crystal
Sr 0.5000 0.7500 0.2500
Sr 0.5000 0.2500 0.7500
Sb 0.0000 0.6716 0.6716
Sb 0.0000 0.3284 0.3284
H 0.0000 0.8158 0.1842
H 0.6317 0.8158 0.8158
H 0.0000 0.1842 0.8158
H 0.3683 0.1842 0.1842
Rh 0.0000 0.0000 0.0000

***

Record 4
! Ta2SbHRh (PBE, relaxed); values from VASP
! Density   13.39 g/cm³
! Raw total energy   -7.82 eV per atom
! Total moment   0.000 μB per atom
! Density of states at the Fermi level   2.04 states/eV/cell
&SYSTEM
  ibrav = 0, nat = 5, ntyp = 4
/
ATOMIC_SPECIES
Sb 121.76 Sb.upf
Rh 102.91 Rh.upf
H 1.01 H.upf
Ta 180.95 Ta.upf
CELL_PARAMETERS angstrom
4.0035 0.0000 0.0000
0.0000 4.0035 0.0000
0.0000 0.0000 4.5460
ATOMIC_POSITIONS crystal
Sb 0.5000 0.5000 0.5000
Rh 0.0000 0.0000 0.5000
H 0.0000 0.0000 0.0000
Ta 0.0000 0.5000 0.0000
Ta 0.5000 0.0000 0.0000